First-principles (GGA-PBE) data for an optimized crystal structure of ZrTePt, as listed in the Alexandria database.

abc: 10.3846 3.6923 6.9182
angles: 90.00 106.84 90.00
Last column: nearest neighbours and their distance in Å.
Space group C2/m (No. 12)
One atom of each set of equivalent atoms:
Zr 0.0412 0.0000 0.2586 x4  4 Pt 2.87-2.88, 5 Te 2.92-3.12
Te 0.1654 0.5000 0.6302 x4  1 Pt 2.75, 1 Zr 2.92
Pt 0.1356 0.5000 0.0125 x4  1 Te 2.75, 3 Pt 2.77-3.05, 4 Zr 2.87-2.88

uncorrected formation energy: -758 meV per atom
electronic total energy: -6.668 eV/atom
crystal system: monoclinic
relative energy among the computed polymorphs: 0.0 kJ per mole of atoms
spin magnetization: 0.00 μB per cell

---

First-principles (GGA-PBE) data for an optimized crystal structure of Sm2Dy2Bi5, as listed in the Alexandria database.

abc: 16.1621 8.2815 8.4988
angles: 90.00 90.00 90.00
Last column: nearest neighbours and their distance in Å.
Space group Cmce (No. 64)
One atom of each set of equivalent atoms:
Sm 0.1925 0.0000 0.0000 x8  7 Bi 3.11-3.34
Dy 0.0000 0.1546 0.3411 x8  8 Bi 3.16-3.45
Bi 0.0000 0.0000 0.0000 x4  2 Sm 3.11, 4 Dy 3.16-3.17
Bi 0.1388 0.1505 0.6502 x16  3 Dy 3.20-3.45, 3 Sm 3.26-3.34, 1 Bi 3.57

electronic total energy: -4.897 eV/atom
crystal system: orthorhombic
energy of formation: -0.669 eV per atom
spin magnetization: 0.00 μB per cell

---

First-principles (GGA-PBE) data for an optimized crystal structure of RbSbP, as listed in the Alexandria database.

abc: 5.3078 6.5322 7.4065
angles: 98.85 107.56 108.56
Last column: nearest neighbours and their distance in Å.
Space group P-1 (No. 2)
One atom of each set of equivalent atoms:
Rb 0.2378 0.1283 0.2987 x2  4 P 3.43-3.73, 1 Sb 3.78
Sb 0.2428 0.5914 0.9433 x2  1 P 2.53
P 0.0449 0.6200 0.4167 x2  1 P 2.16

uncorrected formation energy: -247 meV per atom
electronic total energy: -3.747 eV/atom
crystal system: triclinic
relative energy among the computed polymorphs: 3.6 kJ per mole of atoms
spin magnetization: 0.00 μB per cell